VASP calculation (PBE-GGA) on a geometry-optimized Cs2LiTe2 structure.

a = 5.059 Å, b = 7.463 Å, c = 13.171 Å
α = 71.25°, β = 78.93°, γ = 70.19°
Fractional positions:
Cs 0.699 0.257 0.346
Cs 0.900 0.278 0.921
Cs 0.301 0.743 0.654
Cs 0.100 0.722 0.079
Li 0.572 0.188 0.668
Li 0.428 0.812 0.332
Te 0.039 0.330 0.592
Te 0.639 0.884 0.838
Te 0.961 0.670 0.408
Te 0.361 0.116 0.162

Values from the calculation:
* M_tot: 0.000 μB per cell
* E_tot: -2.892 eV/atom